Record 1
A plane-wave DFT calculation with GGA-PBE was carried out for crystalline Na5B9C at its relaxed geometry.

Properties
Relative energy among the computed polymorphs in eV per atom: 0.005
DFT total energy in eV/atom: -4.82
Formation energy in eV per atom: 0.242

```
Na5B9C
1.0
1.401 -13.598 0.000
1.401 13.598 0.000
0.000 0.000 8.737
Na B C
10 18 2
Direct
0.000 0.000 0.000 Na
0.000 0.000 0.500 Na
0.201 0.799 0.502 Na
0.201 0.799 0.998 Na
0.399 0.601 0.000 Na
0.399 0.601 0.500 Na
0.601 0.399 0.000 Na
0.601 0.399 0.500 Na
0.799 0.201 0.002 Na
0.799 0.201 0.498 Na
0.071 0.929 0.750 B
0.073 0.927 0.250 B
0.133 0.867 0.750 B
0.134 0.866 0.250 B
0.262 0.738 0.250 B
0.325 0.675 0.750 B
0.326 0.674 0.250 B
0.468 0.532 0.750 B
0.470 0.530 0.250 B
0.530 0.470 0.750 B
0.532 0.468 0.250 B
0.674 0.326 0.750 B
0.675 0.325 0.250 B
0.738 0.262 0.750 B
0.866 0.134 0.750 B
0.867 0.133 0.250 B
0.927 0.073 0.750 B
0.929 0.071 0.250 B
0.268 0.732 0.750 C
0.732 0.268 0.250 C
```

Record 2
A plane-wave DFT calculation with GGA-PBE was carried out for crystalline Na5B6C4 at its relaxed geometry.

Properties
Relative energy among the computed polymorphs in eV per atom: 0.005
DFT total energy in eV/atom: -5.51
Formation energy in eV per atom: 0.057

```
Na5B6C4
1.0
1.417 -12.496 0.000
1.417 12.496 0.000
0.000 0.000 8.476
Na B C
10 12 8
Direct
0.000 0.000 0.000 Na
0.000 0.000 0.500 Na
0.200 0.800 0.000 Na
0.200 0.800 0.500 Na
0.399 0.601 0.501 Na
0.399 0.601 0.999 Na
0.601 0.399 0.001 Na
0.601 0.399 0.499 Na
0.800 0.200 0.000 Na
0.800 0.200 0.500 Na
0.073 0.927 0.250 B
0.137 0.863 0.750 B
0.266 0.734 0.250 B
0.331 0.669 0.750 B
0.460 0.540 0.250 B
0.468 0.532 0.750 B
0.532 0.468 0.250 B
0.540 0.460 0.750 B
0.669 0.331 0.250 B
0.734 0.266 0.750 B
0.863 0.137 0.250 B
0.927 0.073 0.750 B
0.071 0.929 0.750 C
0.137 0.863 0.250 C
0.266 0.734 0.750 C
0.332 0.668 0.250 C
0.668 0.332 0.750 C
0.734 0.266 0.250 C
0.863 0.137 0.750 C
0.929 0.071 0.250 C
```

Record 3
A plane-wave DFT calculation with GGA-PBE was carried out for crystalline Na2B3C at its relaxed geometry.

Properties
Relative energy among the computed polymorphs in eV per atom: 0.044
DFT total energy in eV/atom: -5.14
Formation energy in eV per atom: 0.177

```
Na2B3C
1.0
8.604 0.000 0.000
0.000 2.913 5.046
0.000 -2.913 5.046
Na B C
8 12 4
Direct
0.246 0.000 0.000 Na
0.247 0.000 0.499 Na
0.247 0.499 0.000 Na
0.250 0.500 0.500 Na
0.750 0.500 0.500 Na
0.753 0.000 0.499 Na
0.753 0.499 0.000 Na
0.754 0.000 0.000 Na
0.000 0.167 0.167 B
0.000 0.181 0.660 B
0.000 0.660 0.181 B
0.000 0.660 0.660 B
0.000 0.832 0.832 B
0.500 0.161 0.161 B
0.500 0.161 0.677 B
0.500 0.333 0.333 B
0.500 0.354 0.822 B
0.500 0.677 0.161 B
0.500 0.822 0.354 B
0.500 0.822 0.822 B
0.000 0.333 0.333 C
0.000 0.333 0.832 C
0.000 0.832 0.333 C
0.500 0.666 0.666 C
```

Record 4
A plane-wave DFT calculation with GGA-PBE was carried out for crystalline Na5B9C at its relaxed geometry.

Properties
Relative energy among the computed polymorphs in eV per atom: 0.004
DFT total energy in eV/atom: -4.82
Formation energy in eV per atom: 0.241

```
Na5B9C
1.0
9.146 -1.405 0.000
9.146 1.405 0.000
-5.104 0.000 12.968
Na B C
10 18 2
Direct
0.000 0.000 0.000 Na
0.000 0.000 0.500 Na
0.199 0.199 0.398 Na
0.200 0.200 0.900 Na
0.400 0.400 0.299 Na
0.400 0.400 0.801 Na
0.600 0.600 0.199 Na
0.600 0.600 0.701 Na
0.800 0.800 0.100 Na
0.801 0.801 0.602 Na
0.027 0.027 0.303 B
0.037 0.037 0.826 B
0.166 0.166 0.081 B
0.169 0.169 0.590 B
0.228 0.228 0.205 B
0.231 0.231 0.714 B
0.371 0.371 0.493 B
0.375 0.375 0.999 B
0.433 0.433 0.617 B
0.567 0.567 0.383 B
0.625 0.625 0.001 B
0.629 0.629 0.507 B
0.769 0.769 0.286 B
0.772 0.772 0.795 B
0.831 0.831 0.410 B
0.834 0.834 0.919 B
0.963 0.963 0.174 B
0.973 0.973 0.697 B
0.433 0.433 0.113 C
0.567 0.567 0.887 C
```

Record 5
A plane-wave DFT calculation with GGA-PBE was carried out for crystalline Na2B3C at its relaxed geometry.

Properties
Relative energy among the computed polymorphs in eV per atom: 0.017
DFT total energy in eV/atom: -5.17
Formation energy in eV per atom: 0.150

```
Na2B3C
1.0
8.629 0.000 0.000
0.000 1.405 13.070
0.000 -1.405 13.070
Na B C
10 15 5
Direct
0.247 0.000 0.000 Na
0.249 0.600 0.600 Na
0.250 0.202 0.202 Na
0.250 0.402 0.402 Na
0.253 0.803 0.803 Na
0.747 0.803 0.803 Na
0.750 0.202 0.202 Na
0.750 0.402 0.402 Na
0.751 0.600 0.600 Na
0.753 0.000 0.000 Na
0.000 0.059 0.059 B
0.000 0.128 0.128 B
0.000 0.280 0.280 B
0.000 0.465 0.465 B
0.000 0.671 0.671 B
0.000 0.736 0.736 B
0.000 0.872 0.872 B
0.500 0.065 0.065 B
0.500 0.128 0.128 B
0.500 0.276 0.276 B
0.500 0.342 0.342 B
0.500 0.524 0.524 B
0.500 0.671 0.671 B
0.500 0.735 0.735 B
0.500 0.934 0.934 B
0.000 0.340 0.340 C
0.000 0.528 0.528 C
0.000 0.934 0.934 C
0.500 0.465 0.465 C
0.500 0.873 0.873 C
```

Record 6
A plane-wave DFT calculation with GGA-PBE was carried out for crystalline Na4B5C3 at its relaxed geometry.

Properties
Relative energy among the computed polymorphs in eV per atom: 0.020
DFT total energy in eV/atom: -5.45
Formation energy in eV per atom: 0.081

```
Na4B5C3
1.0
-1.411 17.036 2.523
1.411 -17.036 2.523
1.411 17.036 -2.523
Na B C
8 10 6
Direct
0.062 0.000 0.062 Na
0.188 0.000 0.188 Na
0.313 0.002 0.312 Na
0.440 0.002 0.438 Na
0.563 0.002 0.562 Na
0.690 0.002 0.688 Na
0.812 0.000 0.812 Na
0.938 0.000 0.938 Na
0.031 0.656 0.375 B
0.170 0.670 0.500 B
0.237 0.362 0.875 B
0.281 0.656 0.625 B
0.420 0.670 0.750 B
0.487 0.362 0.125 B
0.670 0.670 0.000 B
0.698 0.323 0.375 B
0.920 0.670 0.250 B
0.948 0.323 0.625 B
0.086 0.336 0.750 C
0.336 0.336 0.000 C
0.541 0.666 0.875 C
0.586 0.336 0.250 C
0.791 0.666 0.125 C
0.836 0.336 0.500 C
```

Record 7
A plane-wave DFT calculation with GGA-PBE was carried out for crystalline Na5B8C2 at its relaxed geometry.

Properties
Relative energy among the computed polymorphs in eV per atom: 0.005
DFT total energy in eV/atom: -5.06
Formation energy in eV per atom: 0.175

```
Na5B8C2
1.0
9.049 -1.410 0.000
9.049 1.410 0.000
-5.257 0.000 12.638
Na B C
10 16 4
Direct
0.000 0.000 0.000 Na
0.000 0.000 0.500 Na
0.200 0.200 0.399 Na
0.201 0.201 0.902 Na
0.399 0.399 0.297 Na
0.400 0.400 0.802 Na
0.600 0.600 0.198 Na
0.601 0.601 0.703 Na
0.799 0.799 0.098 Na
0.800 0.800 0.601 Na
0.028 0.028 0.303 B
0.035 0.035 0.822 B
0.168 0.168 0.084 B
0.174 0.174 0.599 B
0.241 0.241 0.733 B
0.366 0.366 0.482 B
0.423 0.423 0.095 B
0.429 0.429 0.610 B
0.571 0.571 0.390 B
0.577 0.577 0.905 B
0.634 0.634 0.518 B
0.759 0.759 0.267 B
0.826 0.826 0.401 B
0.832 0.832 0.916 B
0.965 0.965 0.178 B
0.972 0.972 0.697 B
0.229 0.229 0.206 C
0.363 0.363 0.978 C
0.637 0.637 0.022 C
0.771 0.771 0.794 C
```

Record 8
A plane-wave DFT calculation with GGA-PBE was carried out for crystalline Na4B5C3 at its relaxed geometry.

Properties
Relative energy among the computed polymorphs in eV per atom: 0.001
DFT total energy in eV/atom: -5.47
Formation energy in eV per atom: 0.061

```
Na4B5C3
1.0
2.810 0.000 0.000
0.000 8.539 0.000
0.000 0.000 10.114
Na B C
8 10 6
Direct
0.250 0.001 0.123 Na
0.250 0.001 0.626 Na
0.250 0.499 0.123 Na
0.250 0.499 0.626 Na
0.750 0.501 0.374 Na
0.750 0.501 0.877 Na
0.750 0.999 0.374 Na
0.750 0.999 0.877 Na
0.250 0.250 0.312 B
0.250 0.250 0.787 B
0.250 0.750 0.452 B
0.250 0.750 0.799 B
0.250 0.750 0.972 B
0.750 0.250 0.028 B
0.750 0.250 0.201 B
0.750 0.250 0.548 B
0.750 0.750 0.213 B
0.750 0.750 0.688 B
0.250 0.250 0.466 C
0.250 0.250 0.948 C
0.250 0.750 0.293 C
0.750 0.250 0.707 C
0.750 0.750 0.052 C
0.750 0.750 0.534 C
```

Record 9
A plane-wave DFT calculation with GGA-PBE was carried out for crystalline Na2B3C at its relaxed geometry.

Properties
Relative energy among the computed polymorphs in eV per atom: 0.037
DFT total energy in eV/atom: -5.15
Formation energy in eV per atom: 0.170

```
Na2B3C
1.0
8.574 0.000 0.000
0.000 1.440 12.833
0.000 -1.440 12.833
Na B C
10 15 5
Direct
0.242 0.000 0.000 Na
0.248 0.601 0.601 Na
0.249 0.201 0.201 Na
0.249 0.400 0.400 Na
0.250 0.800 0.800 Na
0.750 0.800 0.800 Na
0.751 0.201 0.201 Na
0.751 0.400 0.400 Na
0.752 0.601 0.601 Na
0.758 0.000 0.000 Na
0.000 0.074 0.074 B
0.000 0.267 0.267 B
0.000 0.461 0.461 B
0.000 0.534 0.534 B
0.000 0.670 0.670 B
0.000 0.864 0.864 B
0.500 0.066 0.066 B
0.500 0.131 0.131 B
0.500 0.267 0.267 B
0.500 0.335 0.335 B
0.500 0.526 0.526 B
0.500 0.670 0.670 B
0.500 0.736 0.736 B
0.500 0.869 0.869 B
0.500 0.937 0.937 B
0.000 0.138 0.138 C
0.000 0.332 0.332 C
0.000 0.735 0.735 C
0.000 0.929 0.929 C
0.500 0.466 0.466 C
```

Record 10
A plane-wave DFT calculation with GGA-PBE was carried out for crystalline Na5B8C2 at its relaxed geometry.

Properties
Relative energy among the computed polymorphs in eV per atom: 0.013
DFT total energy in eV/atom: -5.05
Formation energy in eV per atom: 0.183

```
Na5B8C2
1.0
11.697 -1.415 0.000
11.697 1.415 0.000
-2.844 0.000 9.734
Na B C
10 16 4
Direct
0.000 0.000 0.000 Na
0.101 0.101 0.695 Na
0.199 0.199 0.390 Na
0.299 0.299 0.095 Na
0.399 0.399 0.795 Na
0.500 0.500 0.494 Na
0.600 0.600 0.196 Na
0.700 0.700 0.895 Na
0.798 0.798 0.592 Na
0.899 0.899 0.294 Na
0.022 0.022 0.288 B
0.088 0.088 0.418 B
0.120 0.120 0.985 B
0.215 0.215 0.674 B
0.277 0.277 0.800 B
0.307 0.307 0.361 B
0.375 0.375 0.496 B
0.420 0.420 0.087 B
0.484 0.484 0.214 B
0.528 0.528 0.802 B
0.676 0.676 0.595 B
0.713 0.713 0.172 B
0.818 0.818 0.883 B
0.880 0.880 0.008 B
0.920 0.920 0.585 B
0.984 0.984 0.713 B
0.182 0.182 0.110 C
0.588 0.588 0.921 C
0.617 0.617 0.476 C
0.776 0.776 0.298 C
```

Record 11
A plane-wave DFT calculation with GGA-PBE was carried out for crystalline Na2B3C at its relaxed geometry.

Properties
Relative energy among the computed polymorphs in eV per atom: 0.010
DFT total energy in eV/atom: -5.17
Formation energy in eV per atom: 0.143

```
Na2B3C
1.0
10.069 0.000 0.000
0.000 2.819 0.000
-4.697 0.000 8.932
Na B C
8 12 4
Direct
0.123 0.250 0.124 Na
0.125 0.750 0.626 Na
0.373 0.750 0.375 Na
0.375 0.250 0.877 Na
0.625 0.750 0.123 Na
0.627 0.250 0.625 Na
0.875 0.250 0.374 Na
0.877 0.750 0.876 Na
0.070 0.750 0.318 B
0.100 0.250 0.851 B
0.173 0.250 0.423 B
0.332 0.750 0.081 B
0.335 0.250 0.586 B
0.439 0.750 0.691 B
0.561 0.250 0.309 B
0.665 0.750 0.414 B
0.668 0.250 0.919 B
0.827 0.750 0.577 B
0.900 0.750 0.149 B
0.930 0.250 0.682 B
0.176 0.750 0.928 C
0.411 0.250 0.158 C
0.589 0.750 0.842 C
0.824 0.250 0.072 C
```

Record 12
A plane-wave DFT calculation with GGA-PBE was carried out for crystalline Na2B3C at its relaxed geometry.

Properties
Relative energy among the computed polymorphs in eV per atom: 0.031
DFT total energy in eV/atom: -5.15
Formation energy in eV per atom: 0.164

```
Na2B3C
1.0
4.904 0.000 0.000
-1.885 7.410 0.000
-0.239 -2.983 8.694
Na B C
10 15 5
Direct
0.000 0.000 0.000 Na
0.089 0.200 0.503 Na
0.203 0.407 0.005 Na
0.314 0.607 0.496 Na
0.408 0.811 0.017 Na
0.497 0.002 0.499 Na
0.601 0.204 0.008 Na
0.696 0.401 0.497 Na
0.802 0.608 0.009 Na
0.908 0.803 0.503 Na
0.031 0.473 0.754 B
0.071 0.706 0.754 B
0.092 0.895 0.256 B
0.318 0.915 0.753 B
0.332 0.327 0.251 B
0.345 0.095 0.255 B
0.399 0.529 0.755 B
0.461 0.290 0.753 B
0.525 0.716 0.256 B
0.607 0.505 0.251 B
0.689 0.711 0.754 B
0.702 0.095 0.255 B
0.889 0.102 0.753 B
0.962 0.524 0.253 B
0.982 0.278 0.252 B
0.192 0.707 0.255 C
0.222 0.106 0.752 C
0.648 0.916 0.753 C
0.766 0.898 0.258 C
0.794 0.296 0.753 C
```